(1)
! Ca2MnN, relaxed, DFT GGA-PBE; values from VASP
&SYSTEM
  ibrav = 0, nat = 8, ntyp = 3
/
ATOMIC_SPECIES
Mn 54.94 Mn.upf
Ca 40.08 Ca.upf
N 14.01 N.upf
ATOMIC_POSITIONS angstrom
Mn -4.601 -6.507 -7.603
Mn 0.000 0.000 0.000
Ca -2.331 -3.519 -4.387
Ca -5.769 -6.052 -1.646
Ca -8.996 -10.681 -8.181
Ca -7.850 -7.849 -4.129
N -3.727 -5.092 -2.894
N -7.872 -7.543 -1.568
CELL_PARAMETERS angstrom
-0.457 -4.056 -8.929
-6.997 -6.128 3.141
-5.019 -3.867 -3.384
! Volume in Å³ per atom: 22.25
! ΔE_f (raw) in kJ/mol of formula units: -121
! Raw total energy in eV per atom: -5.6879
! Theoretical density in g/cm3: 2.78
! SG: No. 122

=====

(2)
! Tm3NiHg, relaxed, DFT GGA-PBE; values from VASP
&SYSTEM
  ibrav = 0, nat = 10, ntyp = 3
/
ATOMIC_SPECIES
Hg 200.59 Hg.upf
Tm 168.93 Tm.upf
Ni 58.69 Ni.upf
ATOMIC_POSITIONS angstrom
Hg 7.684 -2.973 -1.277
Hg 1.638 -3.635 1.071
Tm 3.566 -2.483 -1.124
Tm 1.708 -5.550 -1.798
Tm 4.563 -4.277 -3.681
Tm 5.756 -4.126 0.918
Tm 4.760 -2.331 3.474
Tm 7.615 -1.058 1.591
Ni 4.225 -5.267 -1.015
Ni 5.098 -1.341 0.809
CELL_PARAMETERS angstrom
-0.364 -3.852 2.562
2.010 -3.620 -5.155
7.677 0.863 2.387
! Volume in Å³ per atom: 24.81
! Raw total energy in eV per atom: -4.2161
! Theoretical density in g/cm3: 10.26
! SG: No. 59

=====

(3)
! Dy2NpPbO8, relaxed, DFT GGA-PBE; values from VASP
&SYSTEM
  ibrav = 0, nat = 12, ntyp = 4
/
ATOMIC_SPECIES
Dy 162.50 Dy.upf
O 16.00 O.upf
Np 237.00 Np.upf
Pb 207.20 Pb.upf
ATOMIC_POSITIONS angstrom
Dy 2.480 2.472 5.252
Dy 2.478 2.469 1.751
O 0.869 4.097 5.393
O 4.089 0.845 1.610
O 1.474 1.474 3.503
O 1.448 1.451 7.009
O 3.510 3.490 -0.006
O 0.867 4.093 1.609
O 4.091 0.849 5.395
O 3.484 3.467 3.500
Np 0.000 0.000 0.000
Pb 0.002 0.004 3.506
CELL_PARAMETERS angstrom
5.058 -0.127 -0.003
-0.104 5.061 -0.005
0.004 0.007 7.012
! Volume in Å³ per atom: 14.95
! ΔE_f (raw) in kJ/mol of formula units: -3038
! Raw total energy in eV per atom: -8.0837
! Theoretical density in g/cm3: 8.30
! SG: No. 65

=====

(4)
! Pa2BeSi4Pt3, relaxed, DFT GGA-PBE; values from VASP
&SYSTEM
  ibrav = 0, nat = 10, ntyp = 4
/
ATOMIC_SPECIES
Pt 195.08 Pt.upf
Si 28.09 Si.upf
Be 9.01 Be.upf
Pa 231.04 Pa.upf
ATOMIC_POSITIONS angstrom
Pt 0.000 2.089 1.210
Pt 0.000 0.000 4.851
Pt 2.089 0.000 8.493
Si 0.000 2.089 3.601
Si 0.000 0.000 0.000
Si 2.089 2.089 0.000
Si 2.089 0.000 6.102
Be 2.089 2.089 4.851
Pa 0.000 2.089 7.201
Pa 2.089 0.000 2.501
CELL_PARAMETERS angstrom
4.178 0.000 0.000
0.000 4.178 0.000
0.000 0.000 9.703
! Volume in Å³ per atom: 16.94
! ΔE_f (raw) in kJ/mol of formula units: -795
! Raw total energy in eV per atom: -7.0770
! Theoretical density in g/cm3: 11.46
! SG: No. 115

=====

(5)
! ZrS2Br, relaxed, DFT GGA-PBE; values from VASP
&SYSTEM
  ibrav = 0, nat = 4, ntyp = 3
/
ATOMIC_SPECIES
Br 79.90 Br.upf
S 32.06 S.upf
Zr 91.22 Zr.upf
ATOMIC_POSITIONS angstrom
Br 0.000 0.000 13.321
S 0.000 0.000 2.352
S 0.000 0.000 24.290
Zr 0.000 0.000 0.000
CELL_PARAMETERS angstrom
2.046 0.000 8.881
-1.023 1.772 8.881
-1.023 -1.772 8.881
! Volume in Å³ per atom: 24.16
! ΔE_f (raw) in kJ/mol of formula units: 163
! Raw total energy in eV per atom: -4.1961
! Theoretical density in g/cm3: 4.04
! SG: No. 166

=====

(6)
! Hf3HgC, relaxed, DFT GGA-PBE; values from VASP
&SYSTEM
  ibrav = 0, nat = 10, ntyp = 3
/
ATOMIC_SPECIES
C 12.01 C.upf
Hf 178.49 Hf.upf
Hg 200.59 Hg.upf
ATOMIC_POSITIONS angstrom
C -0.454 1.203 3.246
C -2.339 6.195 16.719
Hf 0.248 4.517 8.588
Hf -1.889 5.910 10.416
Hf 0.261 3.576 11.581
Hf -3.054 3.822 8.384
Hf -0.905 1.488 9.549
Hf -3.041 2.881 11.377
Hg -0.937 2.481 6.696
Hg -1.856 4.916 13.269
CELL_PARAMETERS angstrom
-2.111 -0.478 7.581
2.305 3.092 6.876
-2.988 4.783 5.508
! Volume in Å³ per atom: 20.30
! Raw total energy in eV per atom: -8.1542
! Theoretical density in g/cm3: 12.24
! SG: No. 148

=====

- Which formula does entry 2 have?
  Tm3NiHg

=====

- Number 2 is which compound?
  Tm3NiHg

=====

Repeat the sixth record exactly.
! Hf3HgC, relaxed, DFT GGA-PBE; values from VASP
&SYSTEM
  ibrav = 0, nat = 10, ntyp = 3
/
ATOMIC_SPECIES
C 12.01 C.upf
Hf 178.49 Hf.upf
Hg 200.59 Hg.upf
ATOMIC_POSITIONS angstrom
C -0.454 1.203 3.246
C -2.339 6.195 16.719
Hf 0.248 4.517 8.588
Hf -1.889 5.910 10.416
Hf 0.261 3.576 11.581
Hf -3.054 3.822 8.384
Hf -0.905 1.488 9.549
Hf -3.041 2.881 11.377
Hg -0.937 2.481 6.696
Hg -1.856 4.916 13.269
CELL_PARAMETERS angstrom
-2.111 -0.478 7.581
2.305 3.092 6.876
-2.988 4.783 5.508
! Volume in Å³ per atom: 20.30
! Raw total energy in eV per atom: -8.1542
! Theoretical density in g/cm3: 12.24
! SG: No. 148

=====

What did the second record say?
! Tm3NiHg, relaxed, DFT GGA-PBE; values from VASP
&SYSTEM
  ibrav = 0, nat = 10, ntyp = 3
/
ATOMIC_SPECIES
Hg 200.59 Hg.upf
Tm 168.93 Tm.upf
Ni 58.69 Ni.upf
ATOMIC_POSITIONS angstrom
Hg 7.684 -2.973 -1.277
Hg 1.638 -3.635 1.071
Tm 3.566 -2.483 -1.124
Tm 1.708 -5.550 -1.798
Tm 4.563 -4.277 -3.681
Tm 5.756 -4.126 0.918
Tm 4.760 -2.331 3.474
Tm 7.615 -1.058 1.591
Ni 4.225 -5.267 -1.015
Ni 5.098 -1.341 0.809
CELL_PARAMETERS angstrom
-0.364 -3.852 2.562
2.010 -3.620 -5.155
7.677 0.863 2.387
! Volume in Å³ per atom: 24.81
! Raw total energy in eV per atom: -4.2161
! Theoretical density in g/cm3: 10.26
! SG: No. 59